VASP calculation (PBE) on a relaxed structure of La6TbZn2.

a b c (Å): 3.7955 6.7808 11.9511
angles (deg): 75.89 80.86 73.75
Closest atoms and distances in Å follow each position.
Fractional coordinates of all 9 atoms:
La 0.6872 0.5012 0.1245  2 Zn 3.22, 3 La 3.44-3.50
La 0.3128 0.4988 0.8755  2 Zn 3.22, 3 La 3.44-3.50
La 0.3086 0.7870 0.5958  2 Zn 3.39, 6 La 3.44-3.78
La 0.9707 0.7319 0.3267  2 Zn 3.19, 1 La 3.44
La 0.0293 0.2681 0.6733  2 Zn 3.19, 1 La 3.44
La 0.6914 0.2130 0.4042  2 Zn 3.39, 6 La 3.44-3.78
Tb 0.0000 0.0000 0.0000  4 Zn 3.09
Zn 0.3584 0.0941 0.1891  2 Tb 3.09, 6 La 3.19-3.39
Zn 0.6416 0.9059 0.8109  2 Tb 3.09, 6 La 3.19-3.39

## Properties
Total magnetization: 0.0 μB/f.u.
Energy: -38.0 eV per cell

***

VASP calculation (PBE) on a relaxed structure of ScIn2BF.

a b c (Å): 5.2011 3.4756 5.2011
angles (deg): 90.00 90.00 90.00
Closest atoms and distances in Å follow each position.
Fractional coordinates of all 5 atoms:
Sc 0.5000 0.5000 0.5000  8 In 3.13, 2 Sc 3.48
B 0.0000 0.0000 0.0000  2 F 1.74
F 0.0000 0.5000 0.0000  2 B 1.74
In 0.0000 0.0000 0.5000  2 B 2.60
In 0.5000 0.0000 0.0000  2 B 2.60

## Properties
Total magnetization: 0.0 μB/f.u.
Raw formation energy: 63 meV/atom

***

VASP calculation (PBE) on a relaxed structure of Pr2AsCl.

a b c (Å): 4.1660 4.1660 7.8059
angles (deg): 74.52 74.52 60.00
Closest atoms and distances in Å follow each position.
Fractional coordinates of all 4 atoms:
Pr 0.0733 0.0733 0.7802  3 As 2.89, 3 Cl 3.16
Pr 0.2602 0.2602 0.2195  3 As 2.92, 3 Cl 3.20
As 0.6679 0.6679 0.9964  6 Pr 2.89-2.92
Cl 0.4987 0.4987 0.5040  6 Pr 3.16-3.20

## Properties
Total magnetization: 0.0 μB/f.u.
Raw formation energy: -1507 meV/atom

***

VASP calculation (PBE) on a relaxed structure of Ba2TlTe2.

a b c (Å): 9.4969 9.4969 4.4656
angles (deg): 90.00 90.00 90.00
Closest atoms and distances in Å follow each position.
Fractional coordinates of all 10 atoms:
Tl 0.0000 0.0000 0.0000  4 Ba 3.64
Tl 0.5000 0.5000 0.0000  4 Ba 3.64
Te 0.1592 0.6592 0.5000  6 Ba 3.44-3.66
Te 0.6592 0.8408 0.5000  6 Ba 3.44-3.66
Te 0.8408 0.3408 0.5000  6 Ba 3.44-3.66
Te 0.3408 0.1592 0.5000  6 Ba 3.44-3.66
Ba 0.3543 0.8543 0.0000  6 Te 3.44-3.66, 2 Tl 3.64
Ba 0.8543 0.6457 0.0000  6 Te 3.44-3.66, 2 Tl 3.64
Ba 0.6457 0.1457 0.0000  6 Te 3.44-3.66, 2 Tl 3.64
Ba 0.1457 0.3543 0.0000  6 Te 3.44-3.66, 2 Tl 3.64

## Properties
Total magnetization: 0.0 μB/f.u.
Offset from the most stable computed form: 172 meV/atom
Raw formation energy: -1091 meV/atom

***

VASP calculation (PBE) on a relaxed structure of KAuBr6.

a b c (Å): 7.8105 7.9756 8.1877
angles (deg): 36.90 82.77 83.56
Closest atoms and distances in Å follow each position.
Fractional coordinates of all 8 atoms:
K 0.5000 0.5000 0.5000  6 Br 3.38-3.55
Au 0.0000 0.0000 0.0000  4 Br 2.48
Br 0.8398 0.4072 0.8176  1 Au 2.48
Br 0.7539 0.9021 0.9216  1 Au 2.48
Br 0.5991 0.1078 0.3100  1 Br 2.42
Br 0.2461 0.0979 0.0784  1 Au 2.48
Br 0.1602 0.5928 0.1824  1 Au 2.48
Br 0.4009 0.8922 0.6900  1 Br 2.42

## Properties
Total magnetization: 0.0 μB/f.u.
Raw formation energy: -535 meV/atom

***

VASP calculation (PBE) on a relaxed structure of LaPrDy2Th.

a b c (Å): 6.5504 8.7280 6.4325
angles (deg): 102.60 90.00 90.00
Closest atoms and distances in Å follow each position.
Fractional coordinates of all 10 atoms:
La 0.0000 0.0000 0.0000  2 La 3.22, 2 Th 3.38, 2 Dy 3.50
La 0.0000 0.0000 0.5000  2 La 3.22, 2 Th 3.38, 2 Dy 3.50
Pr 0.1647 0.5000 0.7500  8 Dy 3.63-3.83, 2 Pr 3.87
Pr 0.8353 0.5000 0.2500  8 Dy 3.63-3.83, 2 Pr 3.87
Dy 0.6667 0.6858 0.8191  1 Dy 3.17, 2 Th 3.19-3.54, 1 La 3.50
Dy 0.6667 0.3142 0.6809  1 Dy 3.17, 2 Th 3.19-3.54, 1 La 3.50
Dy 0.3333 0.6858 0.3191  1 Dy 3.17, 2 Th 3.19-3.54, 1 La 3.50
Dy 0.3333 0.3142 0.1809  1 Dy 3.17, 2 Th 3.19-3.54, 1 La 3.50
Th 0.5466 0.0000 0.2500  4 Dy 3.19-3.54, 2 Th 3.27, 2 La 3.38
Th 0.4534 0.0000 0.7500  4 Dy 3.19-3.54, 2 Th 3.27, 2 La 3.38

## Properties
Total magnetization: 0.0 μB/f.u.
Energy: -49.8 eV per cell

***

VASP calculation (PBE) on a relaxed structure of NdErHf.

a b c (Å): 3.3612 3.3612 7.9736
angles (deg): 102.17 102.17 90.00
Closest atoms and distances in Å follow each position.
Fractional coordinates of all 3 atoms:
Hf 0.3283 0.3283 0.6566  4 Er 3.26, 4 Hf 3.36, 4 Nd 3.43
Nd 0.9904 0.9904 0.9809  4 Nd 3.36, 4 Hf 3.43, 4 Er 3.75
Er 0.6813 0.6813 0.3626  4 Hf 3.26, 4 Er 3.36

## Properties
Total magnetization: 0.0 μB/f.u.
Offset from the most stable computed form: 0 meV/atom

***

VASP calculation (PBE) on a relaxed structure of CeScInRh.

a b c (Å): 4.8799 4.8799 4.8799
angles (deg): 60.00 60.00 60.00
Closest atoms and distances in Å follow each position.
Fractional coordinates of all 4 atoms:
Sc 0.0000 0.0000 0.0000  4 In 2.99, 4 Ce 2.99
Rh 0.5000 0.5000 0.5000  4 Ce 2.99, 4 In 2.99
Ce 0.2500 0.2500 0.2500  4 Sc 2.99, 4 Rh 2.99
In 0.7500 0.7500 0.7500  4 Rh 2.99, 4 Sc 2.99

## Properties
Total magnetization: 1.0 μB/f.u.
Energy: -24.3 eV per cell

***

VASP calculation (PBE) on a relaxed structure of Tb2TmPb2.

a b c (Å): 5.0243 6.5316 9.4477
angles (deg): 90.00 105.42 90.00
Closest atoms and distances in Å follow each position.
Fractional coordinates of all 10 atoms:
Tb 0.9996 0.7275 0.9993  2 Tb 3.27, 4 Pb 3.30, 4 Tm 3.55
Tb 0.8094 0.4756 0.6188  6 Pb 3.27
Tb 0.1906 0.9756 0.3812  6 Pb 3.27
Tb 0.0004 0.2275 0.0007  2 Tb 3.27, 4 Pb 3.30, 4 Tm 3.55
Tm 0.3951 0.9783 0.7901  5 Pb 2.99-3.31
Tm 0.6049 0.4783 0.2099  5 Pb 2.99-3.31
Pb 0.4240 0.4776 0.8481  6 Tb 3.27-3.30, 3 Tm 3.29-3.31
Pb 0.8056 0.9754 0.6111  2 Tm 2.99, 4 Tb 3.27
Pb 0.1944 0.4754 0.3889  2 Tm 2.99, 4 Tb 3.27
Pb 0.5760 0.9776 0.1519  6 Tb 3.27-3.30, 3 Tm 3.29-3.31

## Properties
Total magnetization: 0.0 μB/f.u.
Energy: -46.7 eV per cell

***

VASP calculation (PBE) on a relaxed structure of MnCr2Si6.

a b c (Å): 4.3767 4.4043 6.3735
angles (deg): 90.00 90.00 119.79
Closest atoms and distances in Å follow each position.
Fractional coordinates of all 9 atoms:
Mn 0.5000 0.0000 0.0000  10 Si 2.47-2.55
Cr 0.0000 0.5000 0.6657  10 Si 2.47-2.55
Cr 0.5000 0.5000 0.3343  10 Si 2.47-2.55
Si 0.8336 0.6671 0.0000  5 Si 2.47-2.54, 2 Cr 2.48, 3 Mn 2.53-2.55
Si 0.3338 0.1673 0.6667  4 Cr 2.47-2.55, 5 Si 2.47-2.54, 1 Mn 2.47
Si 0.8335 0.1673 0.3333  4 Cr 2.47-2.55, 5 Si 2.47-2.54, 1 Mn 2.47
Si 0.1664 0.3329 0.0000  5 Si 2.47-2.54, 2 Cr 2.48, 3 Mn 2.53-2.55
Si 0.6662 0.8327 0.6667  4 Cr 2.47-2.55, 5 Si 2.47-2.54, 1 Mn 2.47
Si 0.1665 0.8327 0.3333  4 Cr 2.47-2.55, 5 Si 2.47-2.54, 1 Mn 2.47

## Properties
Total magnetization: 1.0 μB/f.u.
Raw formation energy: -324 meV/atom

***

VASP calculation (PBE) on a relaxed structure of ZnOsW2.

a b c (Å): 4.8535 4.8535 4.8535
angles (deg): 132.57 132.57 69.33
Closest atoms and distances in Å follow each position.
Fractional coordinates of all 4 atoms:
Os 0.7500 0.2500 0.5000  8 W 2.76-2.79, 4 Zn 2.79
W 0.0000 0.0000 0.0000  4 Zn 2.76, 4 W 2.79, 4 Os 2.79
W 0.2500 0.7500 0.5000  4 Os 2.76, 4 Zn 2.79, 4 W 2.79
Zn 0.5000 0.5000 0.0000  8 W 2.76-2.79, 4 Os 2.79

## Properties
Total magnetization: 0.0 μB/f.u.
Energy: -37.2 eV per cell

***

VASP calculation (PBE) on a relaxed structure of TiBeTe2F.

a b c (Å): 5.6307 3.1466 5.6307
angles (deg): 90.00 90.00 90.00
Closest atoms and distances in Å follow each position.
Fractional coordinates of all 5 atoms:
Be 0.0000 0.5000 0.0000  2 F 1.57
F 0.0000 0.0000 0.0000  2 Be 1.57
Te 0.0000 0.0000 0.5000  2 F 2.82, 2 Te 3.15
Te 0.5000 0.0000 0.0000  2 F 2.82, 2 Te 3.15
Ti 0.5000 0.5000 0.5000  2 Ti 3.15, 8 Te 3.23

## Properties
Total magnetization: 1.5 μB/f.u.
Raw formation energy: -350 meV/atom

***

Question: Look up the total magnetization of the tenth one.
Answer: 1.0 μB/f.u.

***

Question: Look up the total magnetization of the fifth one.
Answer: 0.0 μB/f.u.